(1)
! Pm4BiSeS2 (PBE, relaxed); values from VASP
! - ΔE_f (raw): -1.671 eV per atom
! - SG: No. 10
! - Raw total energy: -6.00 eV per atom
&SYSTEM
  ibrav = 0, nat = 8, ntyp = 4
/
ATOMIC_SPECIES
Pm 145.00 Pm.upf
Bi 208.98 Bi.upf
Se 78.96 Se.upf
S 32.06 S.upf
CELL_PARAMETERS angstrom
7.2528 0.0000 0.0000
0.0000 4.1871 0.0000
-2.4129 0.0000 6.9875
ATOMIC_POSITIONS angstrom
Pm 1.1444 0.0000 1.5188
Pm -0.0511 2.0936 5.4194
Pm 4.8910 2.0936 1.5681
Pm 3.6955 0.0000 5.4687
Bi 2.4200 2.0936 3.4937
Se -1.2065 0.0000 3.4937
S 0.0000 2.0936 0.0000
S 3.6264 0.0000 0.0000

---

(2)
! Pm6BiSe2S3 (PBE, relaxed); values from VASP
! - ΔE_f (raw): -1.760 eV per atom
! - SG: No. 12
! - Raw total energy: -6.07 eV per atom
&SYSTEM
  ibrav = 0, nat = 12, ntyp = 4
/
ATOMIC_SPECIES
Pm 145.00 Pm.upf
Bi 208.98 Bi.upf
Se 78.96 Se.upf
S 32.06 S.upf
CELL_PARAMETERS angstrom
9.1596 -2.0743 0.0000
9.1596 2.0743 0.0000
-2.0966 0.0000 8.1884
ATOMIC_POSITIONS angstrom
Pm -0.4016 0.0000 1.8448
Pm 5.0389 0.0000 3.5281
Pm 4.2996 0.0000 7.4165
Pm 11.9230 0.0000 0.7719
Pm 11.1836 0.0000 4.6603
Pm 16.6241 0.0000 6.3436
Bi 8.1113 0.0000 4.0942
Se 1.3431 0.0000 6.8290
Se 14.8795 0.0000 1.3594
S 2.3269 0.0000 2.6871
S 9.1596 0.0000 0.0000
S 13.8957 0.0000 5.5013

---

(3)
! Pm6BiSe3S2 (PBE, relaxed); values from VASP
! - ΔE_f (raw): -1.713 eV per atom
! - SG: No. 12
! - Raw total energy: -5.97 eV per atom
&SYSTEM
  ibrav = 0, nat = 12, ntyp = 4
/
ATOMIC_SPECIES
Pm 145.00 Pm.upf
Bi 208.98 Bi.upf
Se 78.96 Se.upf
S 32.06 S.upf
CELL_PARAMETERS angstrom
9.1875 -2.1007 0.0000
9.1875 2.1007 0.0000
-1.9967 0.0000 8.2360
ATOMIC_POSITIONS angstrom
Pm -0.3613 0.0000 2.2304
Pm 4.1990 0.0000 7.3442
Pm 5.1842 0.0000 3.5105
Pm 11.1939 0.0000 4.7256
Pm 12.1792 0.0000 0.8918
Pm 16.7395 0.0000 6.0057
Bi 9.1875 0.0000 0.0000
Se 1.2993 0.0000 6.8707
Se 8.1891 0.0000 4.1180
Se 15.0789 0.0000 1.3653
S 2.4366 0.0000 2.7881
S 13.9416 0.0000 5.4479

---

(4)
! PmSmBiS (PBE, relaxed); values from VASP
! - ΔE_f (raw): -1.364 eV per atom
! - SG: No. 160
! - Raw total energy: -5.73 eV per atom
&SYSTEM
  ibrav = 0, nat = 4, ntyp = 4
/
ATOMIC_SPECIES
Pm 145.00 Pm.upf
Sm 150.36 Sm.upf
Bi 208.98 Bi.upf
S 32.06 S.upf
CELL_PARAMETERS angstrom
2.1091 1.2177 7.3435
-2.1091 1.2177 7.3435
0.0000 -2.4354 7.3435
ATOMIC_POSITIONS angstrom
Pm 0.0000 0.0000 0.0000
Sm 0.0000 0.0000 17.8362
Bi 0.0000 0.0000 5.2392
S 0.0000 0.0000 8.9978

---

(5)
! TbPmBiS (PBE, relaxed); values from VASP
! - ΔE_f (raw): -1.246 eV per atom
! - SG: No. 160
! - Raw total energy: -5.59 eV per atom
&SYSTEM
  ibrav = 0, nat = 4, ntyp = 4
/
ATOMIC_SPECIES
Tb 158.93 Tb.upf
Pm 145.00 Pm.upf
Bi 208.98 Bi.upf
S 32.06 S.upf
CELL_PARAMETERS angstrom
2.0706 1.1955 7.5643
-2.0706 1.1955 7.5643
0.0000 -2.3909 7.5643
ATOMIC_POSITIONS angstrom
Tb 0.0000 0.0000 0.0000
Pm 0.0000 0.0000 19.1368
Bi 0.0000 0.0000 9.5082
S 0.0000 0.0000 13.4526

---

(6)
! Pm6BiTe3S2 (PBE, relaxed); values from VASP
! - ΔE_f (raw): -1.523 eV per atom
! - SG: No. 12
! - Raw total energy: -5.70 eV per atom
&SYSTEM
  ibrav = 0, nat = 12, ntyp = 4
/
ATOMIC_SPECIES
Pm 145.00 Pm.upf
Bi 208.98 Bi.upf
Te 127.60 Te.upf
S 32.06 S.upf
CELL_PARAMETERS angstrom
9.5374 -2.1592 0.0000
9.5374 2.1592 0.0000
-2.1836 0.0000 8.4827
ATOMIC_POSITIONS angstrom
Pm -0.2172 0.0000 2.2084
Pm 5.2163 0.0000 3.7214
Pm 4.3376 0.0000 7.4623
Pm 12.5537 0.0000 1.0204
Pm 11.6750 0.0000 4.7613
Pm 17.1085 0.0000 6.2743
Bi 9.5374 0.0000 0.0000
Te 1.2325 0.0000 7.0541
Te 8.4457 0.0000 4.2413
Te 15.6588 0.0000 1.4286
S 2.5247 0.0000 2.8773
S 14.3666 0.0000 5.6054

---

(7)
! Pm4BiTeS2 (PBE, relaxed); values from VASP
! - ΔE_f (raw): -1.585 eV per atom
! - SG: No. 10
! - Raw total energy: -5.87 eV per atom
&SYSTEM
  ibrav = 0, nat = 8, ntyp = 4
/
ATOMIC_SPECIES
Pm 145.00 Pm.upf
Bi 208.98 Bi.upf
Te 127.60 Te.upf
S 32.06 S.upf
CELL_PARAMETERS angstrom
7.3220 0.0000 0.0000
0.0000 4.2256 0.0000
-2.4361 0.0000 7.1574
ATOMIC_POSITIONS angstrom
Pm 1.2038 0.0000 1.5066
Pm -0.0033 2.1128 5.6380
Pm 4.8892 2.1128 1.5195
Pm 3.6821 0.0000 5.6509
Bi -1.2181 0.0000 3.5787
Te 2.4430 2.1128 3.5787
S 0.0000 2.1128 0.0000
S 3.6610 0.0000 0.0000

---

(8)
! Pm6Bi2Te3S (PBE, relaxed); values from VASP
! - ΔE_f (raw): -1.353 eV per atom
! - SG: No. 12
! - Raw total energy: -5.50 eV per atom
&SYSTEM
  ibrav = 0, nat = 12, ntyp = 4
/
ATOMIC_SPECIES
Pm 145.00 Pm.upf
Bi 208.98 Bi.upf
Te 127.60 Te.upf
S 32.06 S.upf
CELL_PARAMETERS angstrom
9.7478 -2.2032 0.0000
9.7478 2.2032 0.0000
-2.0784 0.0000 8.6774
ATOMIC_POSITIONS angstrom
Pm -0.5541 0.0000 2.4876
Pm 4.6382 0.0000 7.9500
Pm 5.9852 0.0000 3.7026
Pm 11.4320 0.0000 4.9748
Pm 12.7790 0.0000 0.7275
Pm 17.9713 0.0000 6.1898
Bi 1.5113 0.0000 7.2277
Bi 15.9059 0.0000 1.4498
Te 2.6589 0.0000 2.9443
Te 9.7478 0.0000 0.0000
Te 14.7583 0.0000 5.7331
S 8.7086 0.0000 4.3387